No. 1
Computed, not measured: crystalline CePr2F8 at its relaxed geometry at the PBE level of DFT.

Output
Total magnetic moment   4.002 μB/cell
Density of states at the Fermi level   8.62 states/eV/f.u.
Volume   14.9 Å³/atom
ΔE_f (raw)   -3.85 eV/atom

Cell: 15.643 3.814 5.891 Å, 90.00 110.83 90.00°
Space group C2/m (No. 12)
Asymmetric unit:
Ce 0.000 0.000 0.000
Pr 0.178 0.500 0.681
F 0.046 0.500 0.779
F 0.100 0.000 0.441
F 0.179 0.000 0.960
F 0.220 0.500 0.326


No. 2
Computed, not measured: crystalline KBe2Zn at its relaxed geometry at the PBE level of DFT.

Output
Total magnetic moment   0.000 μB/cell
Density of states at the Fermi level   1.55 states/eV/f.u.
Volume   17.7 Å³/atom
DFT formation energy   0.5967 eV/atom

Cell: 2.563 3.724 7.438 Å, 90.00 90.00 90.00°
Space group Pmmm (No. 47)
Asymmetric unit:
K 0.000 0.000 0.000
Be 0.500 0.500 0.351
Zn 0.000 0.000 0.500


No. 3
Computed, not measured: crystalline TcSnIrOsS at its relaxed geometry at the PBE level of DFT.

Output
Total magnetic moment   0.000 μB/cell
Density of states at the Fermi level   2.35 states/eV/f.u.
Excess energy over the best structure of this formula in the dataset   0.143 eV/atom
Volume   18.2 Å³/atom
ΔE_f (raw)   0.21 eV/atom

Cell: 4.480 4.539 5.485 Å, 79.79 66.62 62.48°
Space group P1 (No. 1)
Asymmetric unit:
Tc 0.000 0.000 0.000
Sn 0.452 0.307 0.776
Ir 0.621 0.794 0.487
Os 0.700 0.607 0.994
S 0.175 0.815 0.356


No. 4
Computed, not measured: crystalline Li6HgRh2 at its relaxed geometry at the PBE level of DFT.

Output
Total magnetic moment   0.000 μB/cell
Density of states at the Fermi level   2.97 states/eV/f.u.
Volume   14.6 Å³/atom
DFT formation energy   -0.1631 eV/atom

Cell: 13.163 7.600 2.634 Å, 90.00 90.37 90.00°
Space group C2/m (No. 12)
Asymmetric unit:
Li 0.000 0.154 0.000
Li 0.173 0.327 0.990
Hg 0.000 0.500 0.500
Rh 0.167 0.000 0.500


No. 5
Computed, not measured: crystalline Hf2FeC at its relaxed geometry at the PBE level of DFT.

Output
Total magnetic moment   6.811 μB/cell
Density of states at the Fermi level   2.22 states/eV/f.u.
Volume   16.8 Å³/atom
DFT formation energy   0.0033 eV/atom

Cell: 3.1509 3.1509 23.4128 Å, 90.00 90.00 120.00°
Space group R-3m (No. 166, hexagonal axes)
Asymmetric unit:
Hf 0.0000 0.0000 0.1113
Fe 0.0000 0.0000 0.0000
C 0.0000 0.0000 0.5000


No. 6
Computed, not measured: crystalline AlCoAsBr2 at its relaxed geometry at the PBE level of DFT.

Output
Total magnetic moment   2.524 μB/cell
Density of states at the Fermi level   6.70 states/eV/f.u.
Excess energy over the best structure of this formula in the dataset   0.334 eV/atom
Volume   25.2 Å³/atom
ΔE_f (raw)   0.57 eV/atom

Cell: 4.926 4.926 5.202 Å, 90.00 90.00 90.00°
Space group P4/mmm (No. 123)
Asymmetric unit:
Al 0.000 0.000 0.000
Co 0.500 0.500 0.500
As 0.000 0.000 0.500
Br 0.000 0.500 0.000


No. 7
Computed, not measured: crystalline Ce2AsPPt6 at its relaxed geometry at the PBE level of DFT.

Output
Total magnetic moment   3.036 μB/cell
Density of states at the Fermi level   12.58 states/eV/f.u.
Volume   19.9 Å³/atom
DFT formation energy   -0.8675 eV/atom

Cell: 5.560 8.231 8.684 Å, 90.00 90.00 90.00°
Space group Pmmn (No. 59, origin choice 2)
Asymmetric unit:
Ce 0.250 0.001 0.242
As 0.250 0.750 0.793
P 0.250 0.250 0.756
Pt 0.003 0.250 0.974
Pt 0.003 0.750 0.489
Pt 0.250 0.505 0.631


No. 8
Computed, not measured: crystalline ThPa2O6 at its relaxed geometry at the PBE level of DFT.

Output
Total magnetic moment   2.048 μB/cell
Density of states at the Fermi level   4.81 states/eV/f.u.
Volume   14.1 Å³/atom
ΔE_f (raw)   -3.66 eV/atom

Cell: 3.9052 3.9052 9.5769 Å, 90.00 90.00 120.00°
Space group P-3m1 (No. 164)
Asymmetric unit:
Th 0.0000 0.0000 0.0000
Pa 0.3333 0.6667 0.6639
O 0.0000 0.0000 0.2563
O 0.3333 0.6667 0.4193
O 0.3333 0.6667 0.9116


No. 9
Computed, not measured: crystalline LaPr2SmBi5 at its relaxed geometry at the PBE level of DFT.

Output
Total magnetic moment   0.000 μB/cell
Density of states at the Fermi level   7.80 states/eV/f.u.
Volume   41.4 Å³/atom
DFT formation energy   -0.1590 eV/atom

Cell: 5.518 5.518 12.235 Å, 90.00 90.00 90.00°
Space group P4/mmm (No. 123)
Asymmetric unit:
La 0.000 0.000 0.000
Pr 0.500 0.500 0.273
Sm 0.000 0.000 0.500
Bi 0.000 0.000 0.249
Bi 0.000 0.500 0.500
Bi 0.500 0.500 0.000


No. 10
Computed, not measured: crystalline NbGe3Mo at its relaxed geometry at the PBE level of DFT.

Output
Total magnetic moment   3.254 μB/cell
Density of states at the Fermi level   7.22 states/eV/f.u.
Excess energy over the best structure of this formula in the dataset   0.000 eV/atom
Volume   22.6 Å³/atom
DFT formation energy   0.9486 eV/atom

Cell: 4.834 4.834 4.834 Å, 90.00 90.00 90.00°
Space group Pm-3m (No. 221)
Asymmetric unit:
Nb 0.000 0.000 0.000
Ge 0.000 0.500 0.500
Mo 0.500 0.500 0.500


No. 11
Computed, not measured: crystalline Ba2PRuPt at its relaxed geometry at the PBE level of DFT.

Output
Total magnetic moment   0.000 μB/cell
Density of states at the Fermi level   1.78 states/eV/f.u.
Volume   28.3 Å³/atom
DFT formation energy   -0.7405 eV/atom

Cell: 4.256 4.256 15.649 Å, 90.00 90.00 90.00°
Space group P4/nmm (No. 129, origin choice 2)
Asymmetric unit:
Ba 0.250 0.250 0.090
Ba 0.250 0.250 0.674
P 0.250 0.250 0.429
Ru 0.250 0.750 0.500
Pt 0.250 0.250 0.874


No. 12
Computed, not measured: crystalline CaY2Rh3 at its relaxed geometry at the PBE level of DFT.

Output
Total magnetic moment   0.000 μB/cell
Density of states at the Fermi level   2.44 states/eV/f.u.
Volume   20.3 Å³/atom
DFT formation energy   -0.7007 eV/atom

Cell: 3.408 3.408 10.479 Å, 90.00 90.00 90.00°
Space group P4/mmm (No. 123)
Asymmetric unit:
Ca 0.000 0.000 0.000
Y 0.000 0.000 0.332
Rh 0.500 0.500 0.178
Rh 0.500 0.500 0.500